Below is a relaxed DyScPa crystal, with properties calculated at the PBE level.

- density (g cm⁻³) = 8.00
- total moment (μB per cell) = 0.0
- energy relative to the elements (eV per atom) = 0.432
- space-group type = R-3m

Cell: 8.7848 8.7848 8.7848 Å, 33.31 33.31 33.31°
Fractional coordinates of all 6 atoms:
1 Dy 0.2087 0.2087 0.2087
2 Dy 0.7913 0.7913 0.7913
3 Sc 0.0608 0.0608 0.0608
4 Sc 0.9392 0.9392 0.9392
5 Pa 0.3402 0.3402 0.3402
6 Pa 0.6598 0.6598 0.6598